No. 1
This record from the Alexandria database describes a geometry-optimized NiPb2Br structure. The functional is GGA-PBE.

The structure in POSCAR format:
```
NiPb2Br
1.0
4.047 -3.977 0.000
4.047 3.977 0.000
-1.098 0.000 3.188
Ni Pb Br
1 2 1
Direct
0.000 0.000 0.000
0.000 0.500 0.500
0.500 0.000 0.500
0.500 0.500 0.000
```

Results
Formation energy (no corrections) ... 173 meV/atom
Final energy ... -3.545 eV per atom
Space-group type ... C2/m

---

No. 2
This record from the Alexandria database describes a geometry-optimized Ce3HfZr2N6 structure. The functional is GGA-PBE.

The structure in POSCAR format:
```
Ce3HfZr2N6
1.0
2.904 -5.031 0.000
2.904 5.031 0.000
-1.936 0.000 5.672
Ce Hf Zr N
3 1 2 6
Direct
0.000 0.000 0.000
0.333 0.667 0.000
0.667 0.333 0.000
0.500 0.500 0.500
0.167 0.833 0.500
0.833 0.167 0.500
0.099 0.427 0.280
0.246 0.246 0.721
0.427 0.099 0.280
0.573 0.901 0.720
0.754 0.754 0.279
0.901 0.573 0.720
```

Results
Formation energy (no corrections) ... -1671 meV/atom
Final energy ... -9.571 eV per atom
Space-group type ... C2/m

---

No. 3
This record from the Alexandria database describes a geometry-optimized Li2RhS structure. The functional is GGA-PBE.

The structure in POSCAR format:
```
Li2RhS
1.0
-1.820 1.820 8.376
1.820 -1.820 8.376
1.820 1.820 -8.376
Li Rh S
4 2 2
Direct
0.102 0.625 0.977
0.375 0.352 0.477
0.648 0.125 0.023
0.875 0.898 0.523
0.250 0.750 0.500
0.500 0.500 0.000
0.000 0.000 0.000
0.750 0.250 0.500
```

Results
Formation energy (no corrections) ... -346 meV/atom
Final energy ... -4.172 eV per atom
Space-group type ... I-42d

---

No. 4
This record from the Alexandria database describes a geometry-optimized BiO2 structure. The functional is GGA-PBE.

The structure in POSCAR format:
```
BiO2
1.0
-3.645 7.731 2.060
3.645 -7.731 2.060
3.645 7.731 -2.060
Bi O
4 8
Direct
0.114 0.203 0.317
0.386 0.703 0.089
0.614 0.297 0.911
0.886 0.797 0.683
0.092 0.904 0.996
0.248 0.713 0.960
0.252 0.213 0.465
0.408 0.404 0.812
0.592 0.596 0.188
0.748 0.787 0.535
0.752 0.287 0.040
0.908 0.096 0.004
```

Results
Formation energy (no corrections) ... -580 meV/atom
Final energy ... -5.179 eV per atom
Space-group type ... Ibam

---

It is found that the N(E_F) values, taken in the order of the records, are 3.1, 6.0, 1.3, 1.6 states/eV/f.u..
It is found that the total magnetization values, taken in the order of the records, are 0.109, 0.000, 0.000, 0.000 Bohr magnetons per cell.